## Ac3Er4Pb4 (PBE-GGA)

Data for a relaxed structure of Ac3Er4Pb4.

a b c (Å): 9.3407 9.3407 9.3407
angles (deg): 90.00 90.00 90.00
Last column: nearest neighbours and their distance in Å.
Space group I-43m (No. 217)
Inequivalent atoms, fractional coordinates:
1 Ac 0.0000 0.0000 0.5000 x6  4 Pb 3.83, 4 Er 3.86
2 Er 0.1278 0.1278 0.1278 x8  4 Pb 2.92-3.10
3 Pb 0.1918 0.1918 0.8082 x8  4 Er 2.92-3.10

Results
- final energy (eV per formula unit) = -47.89



## PrGeBr2 (PBE-GGA)

Data for a relaxed structure of PrGeBr2.

a b c (Å): 3.7371 3.7371 31.0405
angles (deg): 90.00 90.00 120.00
Last column: nearest neighbours and their distance in Å.
Space group R-3m (No. 166, hexagonal axes)
Inequivalent atoms, fractional coordinates:
1 Pr 0.0000 0.0000 0.0000 x3  2 Br 2.86
2 Ge 0.0000 0.0000 0.5000 x3  6 Br 3.16
3 Br 0.0000 0.0000 0.0923 x6  1 Pr 2.86, 3 Ge 3.16

Results
- ΔE_f (raw) (kJ/mol of formula units) = -117



## Ni4PbN (PBE-GGA)

Data for a relaxed structure of Ni4PbN.

a b c (Å): 3.6564 3.6564 6.1954
angles (deg): 90.00 90.00 90.00
Last column: nearest neighbours and their distance in Å.
Space group P4/mmm (No. 123)
Inequivalent atoms, fractional coordinates:
1 Ni 0.0000 0.0000 0.1974 x2  1 N 1.87
2 Ni 0.0000 0.5000 0.5000 x2  2 N 1.83
3 Pb 0.5000 0.5000 0.0000 x1  8 Ni 2.86
4 N 0.0000 0.0000 0.5000 x1  6 Ni 1.83-1.87

Results
- ΔE_f (raw) (kJ/mol of formula units) = 86



## NaIrPdO4 (PBE-GGA)

Data for a relaxed structure of NaIrPdO4.

a b c (Å): 5.6779 6.1557 10.8605
angles (deg): 90.00 90.00 90.00
Last column: nearest neighbours and their distance in Å.
Space group Imma (No. 74)
Inequivalent atoms, fractional coordinates:
1 Na 0.0000 0.2500 0.1650 x4  4 O 2.27-2.38
2 Ir 0.0000 0.0000 0.5000 x4  6 O 1.97-2.02
3 Pd 0.2500 0.2500 0.7500 x4  4 O 2.08
4 O 0.0000 0.0318 0.6852 x8  1 Ir 2.02, 2 Pd 2.08
5 O 0.2150 0.2500 0.4818 x8  2 Ir 1.97

Results
- ΔE_f (raw) (kJ/mol of formula units) = -555



## SrPtW2 (PBE-GGA)

Data for a relaxed structure of SrPtW2.

a b c (Å): 3.9162 3.9162 5.1183
angles (deg): 90.00 90.00 90.00
Last column: nearest neighbours and their distance in Å.
Space group P4/mmm (No. 123)
Inequivalent atoms, fractional coordinates:
1 Sr 0.0000 0.0000 0.0000 x1  4 Pt 2.77
2 Pt 0.5000 0.5000 0.0000 x1  4 Sr 2.77
3 W 0.0000 0.5000 0.5000 x2  4 W 2.77

Results
- energy relative to the lowest polymorph listed for this composition (meV per atom) = 494.1



## B2C (PBE-GGA)

Data for a relaxed structure of B2C.

a b c (Å): 3.5184 4.5738 5.5444
angles (deg): 68.97 84.96 79.49
Last column: nearest neighbours and their distance in Å.
Space group P1 (No. 1)
Inequivalent atoms, fractional coordinates:
1 B 0.0000 0.0000 0.0000 x1  5 B 1.76-1.92, 1 C 1.82
2 B 0.0024 0.4114 0.8966 x1  1 C 1.56, 1 B 1.73
3 B 0.0596 0.9807 0.5636 x1  2 C 1.65-1.67, 1 B 1.68
4 B 0.1737 0.1904 0.2098 x1  3 B 1.66-1.76
5 B 0.2881 0.2312 0.7034 x1  2 C 1.62-1.80, 1 B 1.73
6 B 0.3228 0.6214 0.1185 x1  2 C 1.67-1.84, 1 B 1.82
7 B 0.5908 0.9525 0.2080 x1  1 C 1.55, 1 B 1.66
8 B 0.9896 0.3767 0.4127 x1  1 C 1.56, 2 B 1.66-1.68
9 C 0.3580 0.6326 0.6435 x1  2 C 1.56-1.59, 1 B 1.67
10 C 0.5956 0.6048 0.3921 x1  2 B 1.55-1.56, 1 C 1.59
11 C 0.6092 0.6407 0.8585 x1  2 C 1.52-1.56, 2 B 1.56-1.67
12 C 0.6864 0.9800 0.7651 x1  1 C 1.52, 2 B 1.62-1.65

Results
- energy relative to the lowest polymorph listed for this composition (meV per atom) = 367.1



## Te2Mo2N (PBE-GGA)

Data for a relaxed structure of Te2Mo2N.

a b c (Å): 7.3823 7.3823 3.3946
angles (deg): 90.00 90.00 90.00
Last column: nearest neighbours and their distance in Å.
Space group P4/mbm (No. 127)
Inequivalent atoms, fractional coordinates:
1 Te 0.1535 0.3465 0.0000 x4  6 Mo 2.69-2.79, 2 N 2.80
2 Mo 0.1461 0.6461 0.5000 x4  6 Te 2.69-2.79
3 N 0.0000 0.0000 0.0000 x2  4 Te 2.80

Results
- energy relative to the lowest polymorph listed for this composition (meV per atom) = 390.4
- ΔE_f (raw) (kJ/mol of formula units) = 661



## TiBeGe3 (PBE-GGA)

Data for a relaxed structure of TiBeGe3.

a b c (Å): 4.4614 4.4614 4.4614
angles (deg): 90.00 90.00 90.00
Last column: nearest neighbours and their distance in Å.
Space group Pm-3m (No. 221)
Inequivalent atoms, fractional coordinates:
1 Ti 0.0000 0.0000 0.0000 x1  12 Ge 3.15
2 Be 0.5000 0.5000 0.5000 x1  6 Ge 2.23
3 Ge 0.0000 0.5000 0.5000 x3  2 Be 2.23

Results
- energy relative to the lowest polymorph listed for this composition (meV per atom) = 0.0



## Tb2Pm2Sn3 (PBE-GGA)

Data for a relaxed structure of Tb2Pm2Sn3.

a b c (Å): 10.7281 5.0587 8.6862
angles (deg): 90.00 100.28 90.00
Last column: nearest neighbours and their distance in Å.
Space group C2/m (No. 12)
Inequivalent atoms, fractional coordinates:
1 Tb 0.1444 0.0000 0.4228 x4  5 Sn 3.10-3.24
2 Pm 0.1274 0.5000 0.8518 x4  5 Sn 3.12-3.46
3 Sn 0.0000 0.5000 0.5000 x2  4 Tb 3.10, 2 Pm 3.12
4 Sn 0.2009 0.5000 0.2207 x4  4 Pm 3.16-3.46, 3 Tb 3.20-3.24, 1 Sn 3.52

Results
- final energy (eV per formula unit) = -34.47



## Pu3S (PBE-GGA)

Data for a relaxed structure of Pu3S.

a b c (Å): 3.8055 3.8055 10.0746
angles (deg): 90.00 90.00 90.00
Last column: nearest neighbours and their distance in Å.
Space group I4/mmm (No. 139)
Inequivalent atoms, fractional coordinates:
1 Pu 0.0000 0.0000 0.0000 x2  2 Pu 2.51, 4 S 2.69
2 Pu 0.0000 0.0000 0.2492 x4  5 Pu 2.51-2.69, 1 S 2.53
3 S 0.0000 0.0000 0.5000 x2  6 Pu 2.53-2.69

Results
- energy relative to the lowest polymorph listed for this composition (meV per atom) = 59.0
- ΔE_f (raw) (kJ/mol of formula units) = -156



## Tl2Cu2Ir (PBE-GGA)

Data for a relaxed structure of Tl2Cu2Ir.

a b c (Å): 6.6867 6.6867 4.0467
angles (deg): 90.00 90.00 90.00
Last column: nearest neighbours and their distance in Å.
Space group P4/mbm (No. 127)
Inequivalent atoms, fractional coordinates:
1 Tl 0.1776 0.3224 0.0000 x4  6 Cu 2.72-2.90
2 Cu 0.1305 0.6305 0.5000 x4  1 Cu 2.47, 2 Ir 2.62, 2 Tl 2.72
3 Ir 0.0000 0.0000 0.5000 x2  4 Cu 2.62

Results
- energy relative to the lowest polymorph listed for this composition (meV per atom) = 0.0



## B2C (PBE-GGA)

Data for a relaxed structure of B2C.

a b c (Å): 8.5203 2.6897 7.9615
angles (deg): 90.00 112.59 90.00
Last column: nearest neighbours and their distance in Å.
Space group C2/m (No. 12)
Inequivalent atoms, fractional coordinates:
1 B 0.0472 0.0000 0.3491 x4  3 C 1.58-1.66
2 B 0.0632 0.5000 0.9333 x4  2 C 1.61, 1 B 1.78
3 B 0.2136 0.5000 0.1738 x4  1 C 1.63
4 B 0.2423 0.5000 0.6580 x4  1 C 1.54
5 C 0.0819 0.5000 0.4801 x4  3 B 1.54-1.66, 1 C 1.55
6 C 0.1022 0.0000 0.8451 x4  4 B 1.58-1.63

Results
- energy relative to the lowest polymorph listed for this composition (meV per atom) = 304.1



## NpInSe (PBE-GGA)

Data for a relaxed structure of NpInSe.

a b c (Å): 3.6250 3.6250 6.9109
angles (deg): 90.00 90.00 120.00
Last column: nearest neighbours and their distance in Å.
Space group P3m1 (No. 156)
Inequivalent atoms, fractional coordinates:
1 Np 0.0000 0.0000 0.0000 x1  3 Se 2.88
2 In 0.3333 0.6667 0.6136 x1  3 Se 3.08, 3 Np 3.39
3 Se 0.6667 0.3333 0.2857 x1  3 Np 2.88, 3 In 3.08

Results
- energy relative to the lowest polymorph listed for this composition (meV per atom) = 140.3
- ΔE_f (raw) (kJ/mol of formula units) = -56



## PrThHgOs (PBE-GGA)

Data for a relaxed structure of PrThHgOs.

a b c (Å): 7.3795 7.3795 7.3795
angles (deg): 90.00 90.00 90.00
Last column: nearest neighbours and their distance in Å.
Space group F-43m (No. 216)
Inequivalent atoms, fractional coordinates:
1 Pr 0.0000 0.0000 0.0000 x4  4 Hg 3.20, 4 Os 3.20
2 Th 0.0000 0.0000 0.5000 x4  4 Os 3.20, 4 Hg 3.20
3 Hg 0.2500 0.2500 0.2500 x4  4 Th 3.20, 4 Pr 3.20
4 Os 0.2500 0.2500 0.7500 x4  4 Th 3.20, 4 Pr 3.20

Results
- energy relative to the lowest polymorph listed for this composition (meV per atom) = 132.8



## KSrBr3 (PBE-GGA)

Data for a relaxed structure of KSrBr3.

a b c (Å): 8.7558 4.6034 10.2150
angles (deg): 90.00 97.47 90.00
Last column: nearest neighbours and their distance in Å.
Space group P2_1/m (No. 11)
Inequivalent atoms, fractional coordinates:
1 K 0.2153 0.2500 0.4183 x2  4 Br 3.22-3.38
2 Sr 0.3401 0.2500 0.8401 x2  6 Br 2.97-3.12
3 Br 0.0270 0.2500 0.6874 x2  1 Sr 2.97, 2 K 3.22
4 Br 0.3140 0.7500 0.0382 x2  3 Sr 3.09-3.12
5 Br 0.4193 0.7500 0.6533 x2  2 Sr 3.12, 1 K 3.37

Results
- ΔE_f (raw) (kJ/mol of formula units) = -943



## Pr2Nd9Dy (PBE-GGA)

Data for a relaxed structure of Pr2Nd9Dy.

a b c (Å): 5.1943 5.1943 15.5867
angles (deg): 90.00 90.00 90.00
Last column: nearest neighbours and their distance in Å.
Space group P4/mmm (No. 123)
Inequivalent atoms, fractional coordinates:
1 Pr 0.0000 0.0000 0.1680 x2  12 Nd 3.67-3.69
2 Nd 0.0000 0.5000 0.0000 x2  8 Nd 3.67-3.69, 4 Pr 3.69
3 Nd 0.0000 0.5000 0.3356 x4  8 Nd 3.65-3.68, 2 Dy 3.65, 2 Pr 3.68
4 Nd 0.5000 0.5000 0.1679 x2  4 Pr 3.67, 8 Nd 3.68-3.69
5 Nd 0.5000 0.5000 0.5000 x1  8 Nd 3.65, 4 Dy 3.67
6 Dy 0.0000 0.0000 0.5000 x1  12 Nd 3.65-3.67

Results
- final energy (eV per formula unit) = -56.90



## SmTl5Se4 (PBE-GGA)

Data for a relaxed structure of SmTl5Se4.

a b c (Å): 19.2368 4.3324 8.7439
angles (deg): 90.00 111.88 90.00
Last column: nearest neighbours and their distance in Å.
Space group C2/m (No. 12)
Inequivalent atoms, fractional coordinates:
1 Sm 0.0000 0.0000 0.0000 x2  6 Se 2.96
2 Tl 0.0000 0.0000 0.5000 x2  4 Se 3.28
3 Tl 0.1545 0.5000 0.8033 x4  3 Se 3.02-3.30
4 Tl 0.1918 0.5000 0.3135 x4  3 Se 2.97-3.07
5 Se 0.0284 0.5000 0.2470 x4  2 Sm 2.96, 3 Tl 2.97-3.28
6 Se 0.1605 0.0000 0.0482 x4  1 Sm 2.96, 5 Tl 3.02-3.30

Results
- ΔE_f (raw) (kJ/mol of formula units) = -737



## CaYAl (PBE-GGA)

Data for a relaxed structure of CaYAl.

a b c (Å): 12.6766 3.7580 8.9617
angles (deg): 90.00 124.65 90.00
Last column: nearest neighbours and their distance in Å.
Space group C2/m (No. 12)
Inequivalent atoms, fractional coordinates:
1 Ca 0.0939 0.0000 0.3518 x4  4 Al 3.23-3.24
2 Y 0.1633 0.5000 0.0549 x4  3 Al 3.08-3.22, 2 Y 3.43
3 Al 0.1215 0.5000 0.6655 x4  1 Al 2.81, 2 Y 3.08

Results
- energy relative to the lowest polymorph listed for this composition (meV per atom) = 99.9



## Tb4Sm5Y2 (PBE-GGA)

Data for a relaxed structure of Tb4Sm5Y2.

a b c (Å): 16.7130 6.7202 6.6710
angles (deg): 90.00 100.28 90.00
Last column: nearest neighbours and their distance in Å.
Space group C2/m (No. 12)
Inequivalent atoms, fractional coordinates:
1 Tb 0.0904 0.0000 0.4071 x4  2 Tb 3.37-3.46, 1 Y 3.65, 6 Sm 3.68-3.70
2 Tb 0.2449 0.5000 0.8189 x4  4 Sm 3.29-3.44, 4 Y 3.36-3.61, 1 Tb 3.37
3 Sm 0.0000 0.5000 0.5000 x2  4 Sm 3.35
4 Sm 0.0885 0.2357 0.9045 x8  3 Sm 3.17-3.42, 2 Tb 3.29-3.44, 1 Y 3.49
5 Y 0.2021 0.5000 0.3074 x4  5 Tb 3.36-3.65, 2 Sm 3.49

Results
- energy relative to the lowest polymorph listed for this composition (meV per atom) = 21.2



## Nd4NiBi2 (PBE-GGA)

Data for a relaxed structure of Nd4NiBi2.

a b c (Å): 5.1209 5.1209 17.1896
angles (deg): 90.00 90.00 90.00
Last column: nearest neighbours and their distance in Å.
Space group I4/mmm (No. 139)
Inequivalent atoms, fractional coordinates:
1 Nd 0.0000 0.0000 0.1709 x4  1 Ni 2.94, 1 Bi 3.27
2 Nd 0.0000 0.5000 0.0000 x4  2 Ni 2.56
3 Ni 0.0000 0.0000 0.0000 x2  4 Nd 2.56
4 Bi 0.0000 0.0000 0.3613 x4  9 Nd 3.27-3.66

Results
- energy relative to the lowest polymorph listed for this composition (meV per atom) = 0.0



## ScSi4Ni4 (PBE-GGA)

Data for a relaxed structure of ScSi4Ni4.

a b c (Å): 5.5764 5.5764 7.6969
angles (deg): 90.00 90.00 90.00
Last column: nearest neighbours and their distance in Å.
Space group P4_2/nmc (No. 137, origin choice 2)
Inequivalent atoms, fractional coordinates:
1 Sc 0.2500 0.7500 0.2500 x2  4 Si 2.86, 8 Ni 3.17
2 Si 0.0343 0.2500 0.0593 x8  5 Ni 2.28-2.34, 1 Si 2.41
3 Ni 0.0237 0.2500 0.3557 x8  5 Si 2.28-2.34, 1 Ni 2.52

Results
- ΔE_f (raw) (kJ/mol of formula units) = -463



## Cr7Se8 (PBE-GGA)

Data for a relaxed structure of Cr7Se8.

a b c (Å): 12.0858 7.4920 8.7780
angles (deg): 90.00 132.69 90.00
Last column: nearest neighbours and their distance in Å.
Space group C2/m (No. 12)
Inequivalent atoms, fractional coordinates:
1 Cr 0.0000 0.0000 0.0000 x2  6 Se 2.64-2.66
2 Cr 0.0000 0.2706 0.5000 x4  6 Se 2.57-2.71
3 Cr 0.2346 0.5000 0.9915 x4  6 Se 2.57-2.73
4 Cr 0.2500 0.2500 0.5000 x4  6 Se 2.60-2.69
5 Se 0.0358 0.0000 0.3325 x4  6 Cr 2.64-2.73
6 Se 0.0483 0.5000 0.3325 x4  5 Cr 2.57-2.60
7 Se 0.2152 0.2433 0.1693 x8  5 Cr 2.59-2.66

Results
- ΔE_f (raw) (kJ/mol of formula units) = -602



## SrCu2W (PBE-GGA)

Data for a relaxed structure of SrCu2W.

a b c (Å): 3.9443 3.9443 9.4437
angles (deg): 90.00 90.00 90.00
Last column: nearest neighbours and their distance in Å.
Space group I-4m2 (No. 119)
Inequivalent atoms, fractional coordinates:
1 Sr 0.0000 0.0000 0.0000 x2  8 Cu 2.79-3.08, 4 W 3.08
2 Cu 0.0000 0.0000 0.5000 x2  4 Sr 2.79, 4 W 3.08, 4 Cu 3.08
3 Cu 0.0000 0.5000 0.2500 x2  4 W 2.79, 4 Cu 3.08, 4 Sr 3.08
4 W 0.0000 0.5000 0.7500 x2  8 Cu 2.79-3.08, 4 Sr 3.08

Results
- energy relative to the lowest polymorph listed for this composition (meV per atom) = 384.8